The following is a PBE calculation of TcBiW2 after structural relaxation, from Alexandria.

Structure (POSCAR):
```
TcBiW2
1.0
3.908 0.000 0.000
0.000 3.908 0.000
0.000 0.000 19.933
Tc Bi W
4 4 8
direct
0.000 0.000 0.000
0.000 0.500 0.250
0.500 0.000 0.750
0.500 0.500 0.500
0.000 0.000 0.500
0.000 0.500 0.750
0.500 0.000 0.250
0.500 0.500 0.000
0.236 0.250 0.125
0.250 0.736 0.375
0.250 0.764 0.875
0.264 0.250 0.625
0.736 0.750 0.625
0.750 0.236 0.875
0.750 0.264 0.375
0.764 0.750 0.125
```

DFT formation energy: 1204 meV per atom
volume: 19.022 Å³/atom


The following is a PBE calculation of PmAgClO2 after structural relaxation, from Alexandria.

Structure (POSCAR):
```
PmAgClO2
1.0
6.657 0.000 0.000
0.000 3.734 0.000
-1.852 0.000 7.230
Pm Ag Cl O
2 2 2 4
direct
0.124 0.250 0.218
0.876 0.750 0.782
0.393 0.250 0.858
0.607 0.750 0.142
0.222 0.750 0.579
0.778 0.250 0.421
0.097 0.250 0.899
0.330 0.750 0.204
0.670 0.250 0.796
0.903 0.750 0.101
```

uncorrected formation energy: -1721 meV per atom
volume: 17.973 Å³/atom


The following is a PBE calculation of MnW2Se after structural relaxation, from Alexandria.

Structure (POSCAR):
```
MnW2Se
1.0
3.060 0.000 0.000
0.000 4.367 0.000
0.000 0.000 4.471
Mn W Se
1 2 1
direct
0.000 0.000 0.000
0.000 0.500 0.500
0.500 0.500 0.000
0.500 0.000 0.500
```

uncorrected formation energy: 524 meV per atom
volume: 14.937 Å³/atom


The following is a PBE calculation of AlCoAg2 after structural relaxation, from Alexandria.

Structure (POSCAR):
```
AlCoAg2
1.0
2.839 0.000 0.000
-1.420 2.459 0.000
0.000 0.000 26.882
Al Co Ag
3 3 6
direct
0.000 0.000 0.000
0.333 0.667 0.667
0.667 0.333 0.333
0.000 0.000 0.500
0.333 0.667 0.167
0.667 0.333 0.833
0.000 0.000 0.249
0.000 0.000 0.751
0.333 0.667 0.418
0.333 0.667 0.916
0.667 0.333 0.084
0.667 0.333 0.582
```

DFT formation energy: 266 meV per atom
volume: 15.637 Å³/atom